[1]
Density functional theory data (PBE) for a relaxed structure of Ac2Ga3Pt2.

Results
energy relative to the lowest polymorph listed for this composition	55	meV/atom
DFT formation energy	-5.401	eV per formula unit
SG	Cmcm, No. 63

a b c (Å): 10.7501 10.7501 7.7136
angles (deg): 90.00 90.00 157.84
Last column: nearest neighbours and their distance in Å.
Positions (direct):
Ac 0.0620 0.9380 0.7500  9 Ga 3.17-3.43, 4 Pt 3.27
Ac 0.1706 0.8294 0.2500  4 Pt 3.19, 6 Ga 3.22-3.46
Ac 0.8294 0.1706 0.7500  4 Pt 3.19, 6 Ga 3.22-3.46
Ac 0.9380 0.0620 0.2500  9 Ga 3.17-3.43, 4 Pt 3.27
Ga 0.2125 0.7875 0.7500  4 Pt 2.73
Ga 0.4467 0.5533 0.5874  2 Ga 2.51-2.62, 1 Pt 2.56
Ga 0.4467 0.5533 0.9126  2 Ga 2.51-2.62, 1 Pt 2.56
Ga 0.5533 0.4467 0.0874  2 Ga 2.51-2.62, 1 Pt 2.56
Ga 0.5533 0.4467 0.4126  2 Ga 2.51-2.62, 1 Pt 2.56
Ga 0.7875 0.2125 0.2500  4 Pt 2.73
Pt 0.3387 0.6613 0.0647  3 Ga 2.56-2.73, 1 Pt 2.86
Pt 0.3387 0.6613 0.4353  3 Ga 2.56-2.73, 1 Pt 2.86
Pt 0.6613 0.3387 0.5647  3 Ga 2.56-2.73, 1 Pt 2.86
Pt 0.6613 0.3387 0.9353  3 Ga 2.56-2.73, 1 Pt 2.86

---

[2]
Density functional theory data (PBE) for a relaxed structure of Ti2TePb2.

Results
SG	P4/mbm, No. 127
formation energy from raw total energies	-57	meV/atom

a b c (Å): 7.3230 7.3230 4.3508
angles (deg): 90.00 90.00 90.00
Last column: nearest neighbours and their distance in Å.
Positions (direct):
Ti 0.1375 0.3625 0.0000  2 Te 2.84, 1 Ti 2.85, 6 Pb 3.02-3.09
Ti 0.3625 0.8625 0.0000  2 Te 2.84, 1 Ti 2.85, 6 Pb 3.02-3.09
Ti 0.6375 0.1375 0.0000  2 Te 2.84, 1 Ti 2.85, 6 Pb 3.02-3.09
Ti 0.8625 0.6375 0.0000  2 Te 2.84, 1 Ti 2.85, 6 Pb 3.02-3.09
Te 0.0000 0.0000 0.0000  4 Ti 2.84
Te 0.5000 0.5000 0.0000  4 Ti 2.84
Pb 0.1606 0.6606 0.5000  6 Ti 3.02-3.09, 1 Pb 3.33
Pb 0.3394 0.1606 0.5000  6 Ti 3.02-3.09, 1 Pb 3.33
Pb 0.6606 0.8394 0.5000  6 Ti 3.02-3.09, 1 Pb 3.33
Pb 0.8394 0.3394 0.5000  6 Ti 3.02-3.09, 1 Pb 3.33

---

[3]
Density functional theory data (PBE) for a relaxed structure of ThZrBi2N.

Results
SG	P4/nmm, No. 129
formation energy from raw total energies	-845	meV/atom

a b c (Å): 4.0644 4.0644 15.5044
angles (deg): 90.00 90.00 90.00
Last column: nearest neighbours and their distance in Å.
Positions (direct):
Th 0.2500 0.2500 0.0746  4 N 2.34
Th 0.7500 0.7500 0.9254  4 N 2.34
Zr 0.2500 0.2500 0.5683  6 Bi 3.04-3.17
Zr 0.7500 0.7500 0.4317  6 Bi 3.04-3.17
Bi 0.2500 0.2500 0.3685  5 Zr 3.04-3.10
Bi 0.2500 0.2500 0.7728  1 Zr 3.17
Bi 0.7500 0.7500 0.2272  1 Zr 3.17
Bi 0.7500 0.7500 0.6315  5 Zr 3.04-3.10
N 0.2500 0.7500 0.0000  4 Th 2.34
N 0.7500 0.2500 0.0000  4 Th 2.34

---

[4]
Density functional theory data (PBE) for a relaxed structure of SiIr.

Results
SG	I4_1/amd, No. 141
formation energy from raw total energies	-229	meV/atom

a b c (Å): 3.5517 3.5517 8.7163
angles (deg): 90.00 90.00 90.00
Last column: nearest neighbours and their distance in Å.
Positions (direct):
Si 0.0000 0.2500 0.3750  8 Ir 2.51-2.81, 4 Si 2.81
Si 0.0000 0.7500 0.6250  8 Ir 2.51-2.81, 4 Si 2.81
Si 0.5000 0.2500 0.1250  8 Ir 2.51-2.81, 4 Si 2.81
Si 0.5000 0.7500 0.8750  8 Ir 2.51-2.81, 4 Si 2.81
Ir 0.0000 0.2500 0.8750  8 Si 2.51-2.81, 4 Ir 2.81
Ir 0.0000 0.7500 0.1250  8 Si 2.51-2.81, 4 Ir 2.81
Ir 0.5000 0.2500 0.6250  8 Si 2.51-2.81, 4 Ir 2.81
Ir 0.5000 0.7500 0.3750  8 Si 2.51-2.81, 4 Ir 2.81

---

[5]
Density functional theory data (PBE) for a relaxed structure of TlNiPb2.

Results
energy relative to the lowest polymorph listed for this composition	66	meV/atom
DFT formation energy	0.695	eV per formula unit
SG	Imm2, No. 44

a b c (Å): 3.3541 4.2111 15.2770
angles (deg): 90.00 90.00 90.00
Last column: nearest neighbours and their distance in Å.
Positions (direct):
Tl 0.0000 0.0000 0.0000  2 Tl 3.35, 6 Pb 3.36-3.52, 2 Ni 3.62
Tl 0.5000 0.5000 0.5000  2 Tl 3.35, 6 Pb 3.36-3.52, 2 Ni 3.62
Ni 0.0000 0.5000 0.7101  6 Pb 2.73-2.76
Ni 0.5000 0.0000 0.2101  6 Pb 2.73-2.76
Pb 0.0000 0.0000 0.3514  2 Ni 2.73
Pb 0.0000 0.5000 0.1711  4 Ni 2.76
Pb 0.5000 0.0000 0.6711  4 Ni 2.76
Pb 0.5000 0.5000 0.8514  2 Ni 2.73

---

[6]
Density functional theory data (PBE) for a relaxed structure of Rb2ZrTaI6.

Results
SG	I4/mmm, No. 139
formation energy from raw total energies	-545	meV/atom

a b c (Å): 8.3302 8.3302 8.3302
angles (deg): 119.93 119.93 90.12
Last column: nearest neighbours and their distance in Å.
Positions (direct):
Rb 0.2500 0.7500 0.5000  12 I 4.17
Rb 0.7500 0.2500 0.5000  12 I 4.17
Zr 0.0000 0.0000 0.0000  6 I 3.00
Ta 0.5000 0.5000 0.0000  6 I 2.89-2.90
I 0.2543 0.2543 0.5086  1 Ta 2.90, 1 Zr 3.00
I 0.2543 0.7457 0.0000  1 Ta 2.90, 1 Zr 3.00
I 0.2545 0.2545 0.0000  1 Ta 2.89, 1 Zr 3.00
I 0.7455 0.7455 0.0000  1 Ta 2.89, 1 Zr 3.00
I 0.7457 0.2543 0.0000  1 Ta 2.90, 1 Zr 3.00
I 0.7457 0.7457 0.4914  1 Ta 2.90, 1 Zr 3.00

---

[7]
Density functional theory data (PBE) for a relaxed structure of SrRu2Rh.

Results
energy relative to the lowest polymorph listed for this composition	46	meV/atom
DFT formation energy	1.684	eV per formula unit
SG	Pm, No. 6

a b c (Å): 2.8613 4.3033 6.2174
angles (deg): 90.00 103.13 90.00
Last column: nearest neighbours and their distance in Å.
Positions (direct):
Sr 0.0000 0.0000 0.0000  2 Sr 2.86, 1 Ru 2.99, 4 Rh 3.07
Ru 0.3161 0.5000 0.6391  2 Rh 2.63, 6 Ru 2.70-2.86
Ru 0.7491 0.0000 0.5067  2 Rh 2.57, 6 Ru 2.70-2.86
Rh 0.6355 0.5000 0.2746  4 Ru 2.57-2.63, 2 Rh 2.86

---

[8]
Density functional theory data (PBE) for a relaxed structure of Cd2InSe.

Results
energy relative to the lowest polymorph listed for this composition	0	meV/atom
SG	Cm, No. 8
formation energy from raw total energies	-183	meV/atom

a b c (Å): 6.7643 3.9017 8.1255
angles (deg): 90.00 106.03 90.00
Last column: nearest neighbours and their distance in Å.
Positions (direct):
Cd 0.0000 0.0000 0.0000  3 Se 2.90-2.91, 3 Cd 3.02
Cd 0.2473 0.0000 0.7426  3 Cd 3.02, 3 In 3.15
Cd 0.5000 0.5000 0.0000  3 Se 2.90-2.91, 3 Cd 3.02
Cd 0.7473 0.5000 0.7426  3 Cd 3.02, 3 In 3.15
In 0.4873 0.0000 0.4607  3 Se 2.86, 3 Cd 3.15
In 0.9873 0.5000 0.4607  3 Se 2.86, 3 Cd 3.15
Se 0.2459 0.5000 0.2354  3 In 2.86, 3 Cd 2.90-2.91
Se 0.7459 0.0000 0.2354  3 In 2.86, 3 Cd 2.90-2.91

---

Short version: DFT total energy = -69.56, -53.26, -72.56, -58.96, -29.74, -37.09, -25.90, -17.57 eV per cell, in the order given.